No. 1
Computed, not measured: Li2MnGeS4 after structural relaxation at the GGA-PBE level of DFT.

Calculated values
SG   No. 121
Energy relative to the elements, uncorrected   -0.83 eV per atom

Lattice parameters (Å, degrees): 6.8051 6.8051 6.8051 133.04 133.04 68.60
Fractional coordinates of all 8 atoms:
Li  0.2500  0.7500  0.5000
Li  0.7500  0.2500  0.5000
Mn  0.0000  0.0000  0.0000
Ge  0.5000  0.5000  0.0000
S  0.1450  0.6178  0.0000
S  0.3822  0.3822  0.5272
S  0.6178  0.1450  0.0000
S  0.8550  0.8550  0.4728

---

No. 2
Computed, not measured: LiMnGe2S6 after structural relaxation at the GGA-PBE level of DFT.

Calculated values
SG   No. 15
Energy relative to the elements, uncorrected   -0.43 eV per atom

Lattice parameters (Å, degrees): 8.4315 8.4315 6.6199 105.45 105.45 82.03
Fractional coordinates of all 20 atoms:
Li  0.1125  0.8875  0.7500
Li  0.8875  0.1125  0.2500
Mn  0.2164  0.7836  0.2500
Mn  0.7836  0.2164  0.7500
Ge  0.2110  0.3884  0.7889
Ge  0.3884  0.2110  0.2889
Ge  0.6116  0.7890  0.7111
Ge  0.7890  0.6116  0.2111
S  0.0239  0.2001  0.6368
S  0.0964  0.6408  0.9042
S  0.2001  0.0239  0.1368
S  0.3106  0.4363  0.5235
S  0.3592  0.9036  0.5958
S  0.4363  0.3106  0.0235
S  0.5637  0.6894  0.9765
S  0.6408  0.0964  0.4042
S  0.6894  0.5637  0.4765
S  0.7999  0.9761  0.8632
S  0.9036  0.3592  0.0958
S  0.9761  0.7999  0.3632

---

No. 3
Computed, not measured: Li2MnGeSe4 after structural relaxation at the GGA-PBE level of DFT.

Calculated values
SG   No. 31
Energy relative to the elements, uncorrected   -0.71 eV per atom

Lattice parameters (Å, degrees): 8.0732 7.2307 6.7125 90.00 90.00 90.00
Fractional coordinates of all 16 atoms:
Li  0.2460  0.1742  0.0000
Li  0.2540  0.8258  0.5000
Li  0.7460  0.8258  0.5000
Li  0.7540  0.1742  0.0000
Mn  0.0000  0.3477  0.4922
Mn  0.5000  0.6523  0.9922
Ge  0.0000  0.6667  0.9972
Ge  0.5000  0.3333  0.4972
Se  0.0000  0.3579  0.8706
Se  0.0000  0.6713  0.3546
Se  0.2412  0.8314  0.8830
Se  0.2588  0.1686  0.3830
Se  0.5000  0.3287  0.8546
Se  0.5000  0.6421  0.3706
Se  0.7412  0.1686  0.3830
Se  0.7588  0.8314  0.8830

---

No. 4
Computed, not measured: LiMnGe2Se6 after structural relaxation at the GGA-PBE level of DFT.

Calculated values
SG   No. 15
Energy relative to the elements, uncorrected   -0.35 eV per atom

Lattice parameters (Å, degrees): 8.8900 8.8900 6.7252 103.07 103.07 85.31
Fractional coordinates of all 20 atoms:
Li  0.1233  0.8767  0.7500
Li  0.8767  0.1233  0.2500
Mn  0.2235  0.7765  0.2500
Mn  0.7765  0.2235  0.7500
Ge  0.2157  0.3844  0.7694
Ge  0.3844  0.2157  0.2694
Ge  0.6156  0.7843  0.7306
Ge  0.7843  0.6156  0.2306
Se  0.0330  0.1802  0.6480
Se  0.1014  0.6276  0.9056
Se  0.1802  0.0330  0.1480
Se  0.3042  0.4505  0.4860
Se  0.3724  0.8986  0.5944
Se  0.4505  0.3042  0.9860
Se  0.5495  0.6958  0.0140
Se  0.6276  0.1014  0.4056
Se  0.6958  0.5495  0.5140
Se  0.8198  0.9670  0.8520
Se  0.8986  0.3724  0.0944
Se  0.9670  0.8198  0.3520

---

No. 5
Computed, not measured: LiSmMnGe2 after structural relaxation at the GGA-PBE level of DFT.

Calculated values
Formation enthalpy at 0 K   -0.51 eV/atom
SG   No. 119

Lattice parameters (Å, degrees): 6.1691 6.1691 6.1691 140.99 140.99 56.36
Fractional coordinates of all 5 atoms:
Li  0.0000  0.0000  0.0000
Sm  0.7500  0.2500  0.5000
Mn  0.5000  0.5000  0.0000
Ge  0.1330  0.6330  0.5000
Ge  0.3670  0.8670  0.5000

---

No. 6
Computed, not measured: LiGe2Mo after structural relaxation at the GGA-PBE level of DFT.

Calculated values
Formation enthalpy at 0 K   0.43 eV/atom
SG   No. 122
Energy above the lowest structure with this stoichiometry   545 meV per atom

Lattice parameters (Å, degrees): 9.1947 9.1947 9.1947 155.42 155.42 35.04
Fractional coordinates of all 8 atoms:
Li  0.0000  0.0000  0.0000
Li  0.7500  0.2500  0.5000
Ge  0.1297  0.6250  0.0047
Ge  0.3750  0.3797  0.5047
Ge  0.6203  0.1250  0.9953
Ge  0.8750  0.8703  0.4953
Mo  0.2500  0.7500  0.5000
Mo  0.5000  0.5000  0.0000

---

No. 7
Computed, not measured: LiGe2Mo after structural relaxation at the GGA-PBE level of DFT.

Calculated values
Formation enthalpy at 0 K   -0.12 eV/atom
SG   No. 123
Energy above the lowest structure with this stoichiometry   0 meV per atom

Lattice parameters (Å, degrees): 3.2665 3.2665 5.6393 90.00 90.00 90.00
Fractional coordinates of all 4 atoms:
Li  0.0000  0.0000  0.0000
Ge  0.5000  0.5000  0.2488
Ge  0.5000  0.5000  0.7512
Mo  0.0000  0.0000  0.5000

---

No. 8
Computed, not measured: Li3GeMo after structural relaxation at the GGA-PBE level of DFT.

Calculated values
Formation enthalpy at 0 K   1.00 eV/atom
SG   No. 221
Energy above the lowest structure with this stoichiometry   0 meV per atom

Lattice parameters (Å, degrees): 4.3802 4.3802 4.3802 90.00 90.00 90.00
Fractional coordinates of all 5 atoms:
Li  0.0000  0.0000  0.5000
Li  0.0000  0.5000  0.0000
Li  0.5000  0.0000  0.0000
Ge  0.0000  0.0000  0.0000
Mo  0.5000  0.5000  0.5000

---

No. 9
Computed, not measured: LiGe2Mo after structural relaxation at the GGA-PBE level of DFT.

Calculated values
Formation enthalpy at 0 K   0.06 eV/atom
SG   No. 160
Energy above the lowest structure with this stoichiometry   175 meV per atom

Lattice parameters (Å, degrees): 6.1590 6.1590 6.1590 34.13 34.13 34.13
Fractional coordinates of all 4 atoms:
Li  0.0000  0.0000  0.0000
Ge  0.2496  0.2496  0.2496
Ge  0.4053  0.4053  0.4053
Mo  0.8262  0.8262  0.8262

---

No. 10
Computed, not measured: LiGe2Mo after structural relaxation at the GGA-PBE level of DFT.

Calculated values
Formation enthalpy at 0 K   0.10 eV/atom
SG   No. 225
Energy above the lowest structure with this stoichiometry   219 meV per atom

Lattice parameters (Å, degrees): 4.4335 4.4335 4.4335 60.00 60.00 60.00
Fractional coordinates of all 4 atoms:
Li  0.0000  0.0000  0.0000
Ge  0.2500  0.2500  0.2500
Ge  0.7500  0.7500  0.7500
Mo  0.5000  0.5000  0.5000

---

No. 11
Computed, not measured: LiGe2Mo after structural relaxation at the GGA-PBE level of DFT.

Calculated values
Formation enthalpy at 0 K   -0.10 eV/atom
SG   No. 166
Energy above the lowest structure with this stoichiometry   22 meV per atom

Lattice parameters (Å, degrees): 8.5563 8.5563 8.5563 20.32 20.32 20.32
Fractional coordinates of all 4 atoms:
Li  0.0000  0.0000  0.0000
Ge  0.2472  0.2472  0.2472
Ge  0.7528  0.7528  0.7528
Mo  0.5000  0.5000  0.5000

---

No. 12
Computed, not measured: Li3GeMo after structural relaxation at the GGA-PBE level of DFT.

Calculated values
Formation enthalpy at 0 K   1.29 eV/atom
SG   No. 221
Energy above the lowest structure with this stoichiometry   296 meV per atom

Lattice parameters (Å, degrees): 4.9001 4.9001 4.9001 90.00 90.00 90.00
Fractional coordinates of all 5 atoms:
Li  0.0000  0.0000  0.5000
Li  0.0000  0.5000  0.0000
Li  0.5000  0.0000  0.0000
Ge  0.5000  0.5000  0.5000
Mo  0.0000  0.0000  0.0000

---

Total magnetic moment across the listed records, respectively: 5.000, 4.000, 5.000, 3.988, 3.359, 0.000, 0.000, 0.000, 0.000, 0.833, 0.000, 4.101 μB per formula unit.
Calculated volume across the listed records, respectively: 165.34, 436.05, 391.84, 504.08, 92.30, 134.39, 60.17, 84.04, 65.57, 61.62, 66.13, 117.66 Å³ per cell.